# CaMn3C

A relaxed structure of CaMn3C (PBE, the Alexandria database).

energy above the lowest structure with this stoichiometry	0	meV per atom

The structure in CIF format:
```
data_CaMn3C
_chemical_formula_sum 'Ca1 Mn3 C1'
_cell_length_a 4.061
_cell_length_b 4.061
_cell_length_c 4.061
_cell_angle_alpha 90.00
_cell_angle_beta 90.00
_cell_angle_gamma 90.00
_symmetry_space_group_name_H-M 'P m -3 m'
_symmetry_Int_Tables_number 221
_symmetry_space_group_name_Hall '-P 4 2 3'
loop_
_atom_site_label
_atom_site_type_symbol
_atom_site_fract_x
_atom_site_fract_y
_atom_site_fract_z
_atom_site_occupancy
Ca1 Ca 0.000 0.000 0.000 1
Mn1 Mn 0.000 0.500 0.500 1
C1 C 0.500 0.500 0.500 1
```

=====

# CaMnC

A relaxed structure of CaMnC (PBE, the Alexandria database).

energy above the lowest structure with this stoichiometry	307	meV per atom

The structure in CIF format:
```
data_CaMnC
_chemical_formula_sum 'Ca1 Mn1 C1'
_cell_length_a 3.3451
_cell_length_b 3.3451
_cell_length_c 4.3797
_cell_angle_alpha 90.00
_cell_angle_beta 90.00
_cell_angle_gamma 120.00
_symmetry_space_group_name_H-M 'P -6 m 2'
_symmetry_Int_Tables_number 187
_symmetry_space_group_name_Hall 'P -6 2'
loop_
_atom_site_label
_atom_site_type_symbol
_atom_site_fract_x
_atom_site_fract_y
_atom_site_fract_z
_atom_site_occupancy
Ca1 Ca 0.0000 0.0000 0.0000 1
Mn1 Mn 0.6667 0.3333 0.5000 1
C1 C 0.3333 0.6667 0.5000 1
```

=====

# Ca3MnC

A relaxed structure of Ca3MnC (PBE, the Alexandria database).

energy above the lowest structure with this stoichiometry	0	meV per atom

The structure in CIF format:
```
data_Ca3MnC
_chemical_formula_sum 'Ca3 Mn1 C1'
_cell_length_a 5.083
_cell_length_b 5.083
_cell_length_c 5.083
_cell_angle_alpha 90.00
_cell_angle_beta 90.00
_cell_angle_gamma 90.00
_symmetry_space_group_name_H-M 'P m -3 m'
_symmetry_Int_Tables_number 221
_symmetry_space_group_name_Hall '-P 4 2 3'
loop_
_atom_site_label
_atom_site_type_symbol
_atom_site_fract_x
_atom_site_fract_y
_atom_site_fract_z
_atom_site_occupancy
Ca1 Ca 0.000 0.000 0.500 1
Mn1 Mn 0.500 0.500 0.500 1
C1 C 0.000 0.000 0.000 1
```

=====

# CaMn2C2

A relaxed structure of CaMn2C2 (PBE, the Alexandria database).

energy above the lowest structure with this stoichiometry	17	meV per atom

The structure in CIF format:
```
data_CaMn2C2
_chemical_formula_sum 'Ca2 Mn4 C4'
_cell_length_a 3.567
_cell_length_b 3.567
_cell_length_c 9.966
_cell_angle_alpha 90.00
_cell_angle_beta 90.00
_cell_angle_gamma 90.00
_symmetry_space_group_name_H-M 'I 4/m m m'
_symmetry_Int_Tables_number 139
_symmetry_space_group_name_Hall '-I 4 2'
loop_
_atom_site_label
_atom_site_type_symbol
_atom_site_fract_x
_atom_site_fract_y
_atom_site_fract_z
_atom_site_occupancy
Ca1 Ca 0.000 0.000 0.000 1
Mn1 Mn 0.000 0.500 0.250 1
C1 C 0.000 0.000 0.324 1
```

=====

# CaMnC

A relaxed structure of CaMnC (PBE, the Alexandria database).

energy above the lowest structure with this stoichiometry	0	meV per atom

The structure in CIF format:
```
data_CaMnC
_chemical_formula_sum 'Ca2 Mn2 C2'
_cell_length_a 3.493
_cell_length_b 3.493
_cell_length_c 8.217
_cell_angle_alpha 90.00
_cell_angle_beta 90.00
_cell_angle_gamma 90.00
_symmetry_space_group_name_H-M 'P 4/n m m'
_symmetry_Int_Tables_number 129
loop_
_symmetry_equiv_pos_as_xyz
'x,y,z'
'-x,-y,-z'
'-y+1/2,x,z'
'y+1/2,-x,-z'
'-x+1/2,-y+1/2,z'
'x+1/2,y+1/2,-z'
'y,-x+1/2,z'
'-y,x+1/2,-z'
'x+1/2,-y,-z'
'-x+1/2,y,z'
'-y,-x,-z'
'y,x,z'
'-x,y+1/2,-z'
'x,-y+1/2,z'
'y+1/2,x+1/2,-z'
'-y+1/2,-x+1/2,z'
loop_
_atom_site_label
_atom_site_type_symbol
_atom_site_fract_x
_atom_site_fract_y
_atom_site_fract_z
_atom_site_occupancy
Ca1 Ca 0.250 0.250 0.201 1
Mn1 Mn 0.250 0.750 0.500 1
C1 C 0.250 0.250 0.611 1
```

=====

# Ca3MnC

A relaxed structure of Ca3MnC (PBE, the Alexandria database).

energy above the lowest structure with this stoichiometry	1106	meV per atom

The structure in CIF format:
```
data_Ca3MnC
_chemical_formula_sum 'Ca3 Mn1 C1'
_cell_length_a 5.285
_cell_length_b 5.285
_cell_length_c 5.285
_cell_angle_alpha 90.00
_cell_angle_beta 90.00
_cell_angle_gamma 90.00
_symmetry_space_group_name_H-M 'P m -3 m'
_symmetry_Int_Tables_number 221
_symmetry_space_group_name_Hall '-P 4 2 3'
loop_
_atom_site_label
_atom_site_type_symbol
_atom_site_fract_x
_atom_site_fract_y
_atom_site_fract_z
_atom_site_occupancy
Ca1 Ca 0.000 0.000 0.500 1
Mn1 Mn 0.000 0.000 0.000 1
C1 C 0.500 0.500 0.500 1
```

=====

# CaMn3C2

A relaxed structure of CaMn3C2 (PBE, the Alexandria database).

The structure in CIF format:
```
data_CaMn3C2
_chemical_formula_sum 'Ca1 Mn3 C2'
_cell_length_a 5.2381
_cell_length_b 5.2381
_cell_length_c 2.7639
_cell_angle_alpha 90.00
_cell_angle_beta 90.00
_cell_angle_gamma 120.00
_symmetry_space_group_name_H-M 'P 6/m m m'
_symmetry_Int_Tables_number 191
_symmetry_space_group_name_Hall '-P 6 2'
loop_
_atom_site_label
_atom_site_type_symbol
_atom_site_fract_x
_atom_site_fract_y
_atom_site_fract_z
_atom_site_occupancy
Ca1 Ca 0.0000 0.0000 0.0000 1
Mn1 Mn 0.0000 0.5000 0.5000 1
C1 C 0.3333 0.6667 0.0000 1
```

=====

# CaMn3C

A relaxed structure of CaMn3C (PBE, the Alexandria database).

energy above the lowest structure with this stoichiometry	2751	meV per atom

The structure in CIF format:
```
data_CaMn3C
_chemical_formula_sum 'Ca1 Mn3 C1'
_cell_length_a 4.824
_cell_length_b 4.824
_cell_length_c 4.824
_cell_angle_alpha 90.00
_cell_angle_beta 90.00
_cell_angle_gamma 90.00
_symmetry_space_group_name_H-M 'P m -3 m'
_symmetry_Int_Tables_number 221
_symmetry_space_group_name_Hall '-P 4 2 3'
loop_
_atom_site_label
_atom_site_type_symbol
_atom_site_fract_x
_atom_site_fract_y
_atom_site_fract_z
_atom_site_occupancy
Ca1 Ca 0.000 0.000 0.000 1
Mn1 Mn 0.000 0.000 0.500 1
C1 C 0.500 0.500 0.500 1
```

=====

Number 1: final energy -7.46 eV per atom, calculated formation energy 0.29 eV/atom, magnetic moment 6.99 μB/cell. Number 2: final energy -6.57 eV per atom, calculated formation energy 0.23 eV/atom, magnetic moment 0.00 μB/cell. Number 3: final energy -4.42 eV per atom, calculated formation energy 0.46 eV/atom, magnetic moment 3.17 μB/cell. Number 4: final energy -7.85 eV per atom, calculated formation energy -0.09 eV/atom, magnetic moment 3.44 μB/cell. Number 5: final energy -6.88 eV per atom, calculated formation energy -0.08 eV/atom, magnetic moment 2.44 μB/cell. Number 6: final energy -3.31 eV per atom, calculated formation energy 1.57 eV/atom, magnetic moment 3.10 μB/cell. Number 7: final energy -7.94 eV per atom, calculated formation energy 0.06 eV/atom, magnetic moment 4.19 μB/cell. Number 8: final energy -4.71 eV per atom, calculated formation energy 3.04 eV/atom, magnetic moment 10.47 μB/cell.